(w)
Below is a relaxed SrBW crystal, with properties calculated at the PBE level.

Cell lengths 6.6756, 6.6756, 6.6756 Å; angles 90.00, 90.00, 90.00 degrees
Space group F-43m (No. 216)
Unique sites:
Sr  0.0000  0.0000  0.0000 x4
B  0.2500  0.2500  0.7500 x4
W  0.2500  0.2500  0.2500 x4

The density is 6.302 g/cm3. The calculation puts the total magnetic moment at 12.031 Bohr magnetons per cell.

---

(x)
Below is a relaxed SrBW crystal, with properties calculated at the PBE level.

Cell lengths 6.1678, 6.1678, 6.1678 Å; angles 90.00, 90.00, 90.00 degrees
Space group F-43m (No. 216)
Unique sites:
Sr  0.0000  0.0000  0.0000 x4
B  0.2500  0.2500  0.2500 x4
W  0.0000  0.0000  0.5000 x4

The density is 7.991 g/cm3. The calculation puts the total magnetic moment at 7.954 Bohr magnetons per cell.

---

Relative energies in eV/atom: (w) 1.326; (x) 0.000

---

(w)
Below is a relaxed SrZnB4 crystal, with properties calculated at the PBE level.

Cell lengths 3.1785, 3.1785, 7.6107 Å; angles 90.00, 90.00, 120.00 degrees
Space group P6/mmm (No. 191)
Unique sites:
Sr  0.0000  0.0000  0.0000 x1
Zn  0.0000  0.0000  0.5000 x1
B  0.3333  0.6667  0.2900 x4

The density is 4.894 g/cm3.

---

(x)
Below is a relaxed SrZnB4 crystal, with properties calculated at the PBE level.

Cell lengths 3.1135, 5.3903, 8.5808 Å; angles 90.00, 90.00, 90.00 degrees
Space group Immm (No. 71)
Unique sites:
Sr  0.0000  0.0000  0.0000 x2
Zn  0.0000  0.0000  0.5000 x2
B  0.0000  0.3307  0.2503 x8

The density is 4.526 g/cm3.

---

Relative energies in eV/atom: (w) 0.000; (x) 0.027

---

(w)
Below is a relaxed TaTcB4 crystal, with properties calculated at the PBE level.

Cell lengths 2.9297, 2.9297, 7.8456 Å; angles 90.00, 90.00, 120.00 degrees
Space group P-6m2 (No. 187)
Unique sites:
Ta  0.0000  0.0000  0.0000 x1
Tc  0.6667  0.3333  0.5000 x1
B  0.0000  0.0000  0.3038 x2
B  0.6667  0.3333  0.2214 x2

The density is 9.174 g/cm3. The calculation puts the total magnetic moment at 0.004 Bohr magnetons per cell.

---

(x)
Below is a relaxed TaTcB4 crystal, with properties calculated at the PBE level.

Cell lengths 3.0773, 3.0773, 6.5583 Å; angles 90.00, 90.00, 120.00 degrees
Space group P6/mmm (No. 191)
Unique sites:
Ta  0.0000  0.0000  0.0000 x1
Tc  0.0000  0.0000  0.5000 x1
B  0.3333  0.6667  0.2506 x4

The density is 9.947 g/cm3. The calculation puts the total magnetic moment at 0.032 Bohr magnetons per cell.

---

Relative energies in eV/atom: (w) 0.000; (x) 0.030

---

(w)
Below is a relaxed TaTlB crystal, with properties calculated at the PBE level.

Cell lengths 5.8236, 5.8236, 5.8236 Å; angles 90.00, 90.00, 90.00 degrees
Space group F-43m (No. 216)
Unique sites:
Ta  0.0000  0.0000  0.0000 x4
Tl  0.0000  0.0000  0.5000 x4
B  0.2500  0.2500  0.2500 x4

The density is 13.323 g/cm3. The calculation puts the total magnetic moment at 0.416 Bohr magnetons per cell.

---

(x)
Below is a relaxed TaTlB crystal, with properties calculated at the PBE level.

Cell lengths 6.1814, 6.1814, 6.1814 Å; angles 90.00, 90.00, 90.00 degrees
Space group F-43m (No. 216)
Unique sites:
Ta  0.0000  0.0000  0.0000 x4
Tl  0.2500  0.2500  0.2500 x4
B  0.2500  0.2500  0.7500 x4

The density is 11.141 g/cm3. The calculation puts the total magnetic moment at 0.015 Bohr magnetons per cell.

---

Relative energies in eV/atom: (w) 0.000; (x) 0.536

---

(w)
Below is a relaxed TmTaB crystal, with properties calculated at the PBE level.

Cell lengths 5.8974, 5.8974, 5.8974 Å; angles 90.00, 90.00, 90.00 degrees
Space group F-43m (No. 216)
Unique sites:
Tm  0.0000  0.0000  0.0000 x4
Ta  0.0000  0.0000  0.5000 x4
B  0.2500  0.2500  0.7500 x4

The density is 11.681 g/cm3. The calculation puts the total magnetic moment at 0.003 Bohr magnetons per cell.

---

(x)
Below is a relaxed TmTaB crystal, with properties calculated at the PBE level.

Cell lengths 6.3287, 6.3287, 6.3287 Å; angles 90.00, 90.00, 90.00 degrees
Space group F-43m (No. 216)
Unique sites:
Tm  0.0000  0.0000  0.0000 x4
Ta  0.2500  0.2500  0.2500 x4
B  0.2500  0.2500  0.7500 x4

The density is 9.451 g/cm3. The calculation puts the total magnetic moment at 10.886 Bohr magnetons per cell.

---

Relative energies in eV/atom: (w) 0.000; (x) 1.727

---

(w)
Below is a relaxed UTaB crystal, with properties calculated at the PBE level.

Cell lengths 5.8817, 5.8817, 5.8817 Å; angles 90.00, 90.00, 90.00 degrees
Space group F-43m (No. 216)
Unique sites:
U  0.0000  0.0000  0.0000 x4
Ta  0.0000  0.0000  0.5000 x4
B  0.2500  0.2500  0.7500 x4

The density is 14.030 g/cm3. The calculation puts the total magnetic moment at 3.179 Bohr magnetons per cell.

---

(x)
Below is a relaxed UTaB crystal, with properties calculated at the PBE level.

Cell lengths 3.5898, 3.5898, 25.5933 Å; angles 90.00, 90.00, 120.00 degrees
Space group R-3m (No. 166, hexagonal axes)
Unique sites:
U  0.0000  0.0000  0.1346 x6
Ta  0.0000  0.0000  0.3715 x6
B  0.0000  0.0000  0.2605 x6

The density is 14.992 g/cm3. The calculation puts the total magnetic moment at 0.023 Bohr magnetons per cell.

---

Relative energies in eV/atom: (w) 0.463; (x) 0.000

---

(w)
Below is a relaxed TaBW crystal, with properties calculated at the PBE level.

Cell lengths 6.3382, 3.2261, 7.7526 Å; angles 90.00, 90.00, 90.00 degrees
Space group Pnma (No. 62)
Unique sites:
Ta  0.0168  0.2500  0.1732 x4
B  0.2224  0.7500  0.3481 x4
W  0.1516  0.2500  0.5568 x4

The density is 15.738 g/cm3. The calculation puts the total magnetic moment at 0.004 Bohr magnetons per cell.

---

(x)
Below is a relaxed TaBW crystal, with properties calculated at the PBE level.

Cell lengths 6.0848, 4.4780, 6.0922 Å; angles 90.00, 90.00, 90.00 degrees
Space group Pnma (No. 62)
Unique sites:
Ta  0.0273  0.2500  0.1643 x4
B  0.2093  0.2500  0.5269 x4
W  0.1429  0.7500  0.3764 x4

The density is 15.029 g/cm3. The calculation puts the total magnetic moment at 0.003 Bohr magnetons per cell.

---

Relative energies in eV/atom: (w) 0.000; (x) 0.601